Compound: KV2IrS8
Source: Alexandria
Functional: GGA-PBE
Structure: relaxed

Unit cell a=8.681 b=8.681 c=8.681 alpha=42.17 beta=42.17 gamma=42.17
Fractional positions:
K 0.000 0.000 0.000
V 0.245 0.245 0.245
V 0.755 0.755 0.755
Ir 0.500 0.500 0.500
S 0.130 0.446 0.753
S 0.247 0.870 0.554
S 0.334 0.334 0.334
S 0.446 0.753 0.130
S 0.554 0.247 0.870
S 0.666 0.666 0.666
S 0.753 0.130 0.446
S 0.870 0.554 0.247

Calculated values
Fermi-level density of states: 8.3 states/eV/f.u.
Formation energy from raw total energies: -531.1 kJ/mol of formula units